Below is a relaxed Tl2Cu2Te crystal, with properties calculated at the GGA-PBE level. Values from VASP.

```
&SYSTEM
  ibrav = 0, nat = 10, ntyp = 3
/
ATOMIC_SPECIES
Tl 204.38 Tl.upf
Te 127.60 Te.upf
Cu 63.55 Cu.upf
CELL_PARAMETERS angstrom
7.070 0.000 0.000
0.000 7.070 0.000
0.000 0.000 4.668
ATOMIC_POSITIONS crystal
Tl 0.169 0.669 0.500
Tl 0.669 0.831 0.500
Tl 0.831 0.331 0.500
Tl 0.331 0.169 0.500
Te 0.000 0.000 0.000
Te 0.500 0.500 0.000
Cu 0.376 0.876 0.000
Cu 0.876 0.624 0.000
Cu 0.624 0.124 0.000
Cu 0.124 0.376 0.000
```

Calculated values
E above lowest polymorph in meV per atom: 0
DOS at the Fermi energy in states/eV per atom: 0.227
Formation energy (no corrections) in eV/atom: 0.11
Spin magnetization in μB per atom: 0.000